No. 1
Density functional theory data (PBE-GGA) for a geometry-optimized NbRuSN2 structure.

Lattice parameters (Å, degrees): 3.960 3.960 5.136 90.00 90.00 90.00
Element x y z (fractional)
Nb1 0.000 0.000 0.000
Ru1 0.500 0.500 0.500
S1 0.000 0.000 0.500
N1 0.000 0.500 0.000
N2 0.500 0.000 0.000

Results
offset from the most stable computed form = 24 meV per atom
space group = P4/mmm
raw total energy = -7.20 eV per atom
formation energy from raw total energies = 0.821 eV per atom

---

No. 2
Density functional theory data (PBE-GGA) for a geometry-optimized Pm4Sm19Tm6 structure.

Lattice parameters (Å, degrees): 10.924 10.924 10.924 109.47 109.47 109.47
Element x y z (fractional)
Pm1 0.000 0.000 0.638
Pm2 0.000 0.638 0.000
Pm3 0.362 0.362 0.362
Pm4 0.638 0.000 0.000
Sm1 0.000 0.000 0.000
Sm2 0.000 0.262 0.262
Sm3 0.000 0.738 0.738
Sm4 0.014 0.796 0.340
Sm5 0.204 0.219 0.545
Sm6 0.219 0.545 0.204
Sm7 0.262 0.000 0.262
Sm8 0.262 0.262 0.000
Sm9 0.326 0.781 0.986
Sm10 0.340 0.014 0.796
Sm11 0.455 0.674 0.660
Sm12 0.545 0.204 0.219
Sm13 0.660 0.455 0.674
Sm14 0.674 0.660 0.455
Sm15 0.738 0.000 0.738
Sm16 0.738 0.738 0.000
Sm17 0.781 0.986 0.326
Sm18 0.796 0.340 0.014
Sm19 0.986 0.326 0.781
Tm1 0.124 0.624 0.500
Tm2 0.376 0.500 0.876
Tm3 0.500 0.124 0.624
Tm4 0.500 0.876 0.376
Tm5 0.624 0.500 0.124
Tm6 0.876 0.376 0.500

Results
space group = I23
energy of formation = 379.2 meV per atom
raw total energy = -4.29 eV per atom

---

No. 3
Density functional theory data (PBE-GGA) for a geometry-optimized Te3HAu structure.

Lattice parameters (Å, degrees): 9.110 9.110 8.160 115.89 115.89 83.31
Element x y z (fractional)
Te1 0.011 0.180 0.082
Te2 0.155 0.563 0.375
Te3 0.180 0.011 0.582
Te4 0.223 0.362 0.871
Te5 0.362 0.223 0.371
Te6 0.437 0.845 0.125
Te7 0.563 0.155 0.875
Te8 0.638 0.777 0.629
Te9 0.777 0.638 0.129
Te10 0.820 0.989 0.418
Te11 0.845 0.437 0.625
Te12 0.989 0.820 0.918
H1 0.269 0.432 0.736
H2 0.432 0.269 0.236
H3 0.568 0.731 0.764
H4 0.731 0.568 0.264
Au1 0.207 0.793 0.750
Au2 0.287 0.713 0.250
Au3 0.713 0.287 0.750
Au4 0.793 0.207 0.250

Results
offset from the most stable computed form = 0 meV per atom
space group = C2/c
raw total energy = -3.09 eV per atom

---

No. 4
Density functional theory data (PBE-GGA) for a geometry-optimized LaAlBr2 structure.

Lattice parameters (Å, degrees): 10.647 10.647 10.647 153.03 153.03 38.51
Element x y z (fractional)
La1 0.000 0.000 0.000
La2 0.750 0.250 0.500
Al1 0.250 0.750 0.500
Al2 0.500 0.500 0.000
Br1 0.122 0.625 0.997
Br2 0.375 0.372 0.497
Br3 0.628 0.125 0.003
Br4 0.875 0.878 0.503

Results
offset from the most stable computed form = 172 meV per atom
space group = I-42d
raw total energy = -3.74 eV per atom
formation energy from raw total energies = -0.739 eV per atom

---

No. 5
Density functional theory data (PBE-GGA) for a geometry-optimized La2NdO structure.

Lattice parameters (Å, degrees): 9.497 9.497 9.497 22.76 22.76 22.76
Element x y z (fractional)
La1 0.218 0.218 0.218
La2 0.782 0.782 0.782
Nd1 0.000 0.000 0.000
O1 0.500 0.500 0.500

Results
space group = R-3m
raw total energy = -6.16 eV per atom
formation energy from raw total energies = -1.269 eV per atom

---

No. 6
Density functional theory data (PBE-GGA) for a geometry-optimized Ac2CuPtO6 structure.

Lattice parameters (Å, degrees): 5.721 5.721 4.014 90.00 90.00 90.00
Element x y z (fractional)
Ac1 0.000 0.500 0.000
Ac2 0.500 0.000 0.000
Cu1 0.000 0.000 0.500
Pt1 0.500 0.500 0.500
O1 0.000 0.000 0.000
O2 0.248 0.248 0.500
O3 0.248 0.752 0.500
O4 0.500 0.500 0.000
O5 0.752 0.248 0.500
O6 0.752 0.752 0.500

Results
space group = P4/mmm
raw total energy = -6.71 eV per atom
formation energy from raw total energies = -1.903 eV per atom

---

No. 7
Density functional theory data (PBE-GGA) for a geometry-optimized V3FeIr4 structure.

Lattice parameters (Å, degrees): 3.176 3.176 11.145 90.00 90.00 90.00
Element x y z (fractional)
V1 0.000 0.000 0.000
V2 0.000 0.000 0.262
V3 0.000 0.000 0.738
Fe1 0.000 0.000 0.500
Ir1 0.500 0.500 0.126
Ir2 0.500 0.500 0.375
Ir3 0.500 0.500 0.625
Ir4 0.500 0.500 0.874

Results
space group = P4/mmm
energy of formation = -246.2 meV per atom
raw total energy = -9.15 eV per atom

---

No. 8
Density functional theory data (PBE-GGA) for a geometry-optimized PaMnAl4 structure.

Lattice parameters (Å, degrees): 8.131 8.131 8.131 145.77 133.79 58.75
Element x y z (fractional)
Pa1 0.212 0.212 0.000
Pa2 0.788 0.788 0.000
Mn1 0.500 0.273 0.773
Mn2 0.500 0.727 0.227
Al1 0.119 0.393 0.727
Al2 0.187 0.000 0.187
Al3 0.334 0.607 0.727
Al4 0.347 0.847 0.500
Al5 0.653 0.153 0.500
Al6 0.666 0.393 0.273
Al7 0.813 0.000 0.813
Al8 0.881 0.607 0.273

Results
offset from the most stable computed form = 231 meV per atom
space group = Immm
energy of formation = -92.4 meV per atom
raw total energy = -5.70 eV per atom

---

No. 9
Density functional theory data (PBE-GGA) for a geometry-optimized Tb3InCu structure.

Lattice parameters (Å, degrees): 8.567 8.567 7.739 90.00 90.00 82.39
Element x y z (fractional)
Tb1 0.019 0.703 0.406
Tb2 0.073 0.927 0.793
Tb3 0.203 0.519 0.906
Tb4 0.297 0.981 0.406
Tb5 0.427 0.573 0.293
Tb6 0.481 0.797 0.906
Tb7 0.519 0.203 0.094
Tb8 0.573 0.427 0.707
Tb9 0.703 0.019 0.594
Tb10 0.797 0.481 0.094
Tb11 0.927 0.073 0.207
Tb12 0.981 0.297 0.594
In1 0.168 0.332 0.250
In2 0.332 0.168 0.750
In3 0.668 0.832 0.250
In4 0.832 0.668 0.750
Cu1 0.194 0.806 0.117
Cu2 0.306 0.694 0.617
Cu3 0.694 0.306 0.383
Cu4 0.806 0.194 0.883

Results
space group = Cmce
energy of formation = -146.8 meV per atom
raw total energy = -4.29 eV per atom

---

No. 10
Density functional theory data (PBE-GGA) for a geometry-optimized La4Er2Tm3 structure.

Lattice parameters (Å, degrees): 6.745 6.745 14.470 115.43 115.43 31.47
Element x y z (fractional)
La1 0.220 0.220 0.106
La2 0.273 0.273 0.628
La3 0.727 0.727 0.372
La4 0.780 0.780 0.894
Er1 0.041 0.041 0.708
Er2 0.959 0.959 0.292
Tm1 0.494 0.494 0.112
Tm2 0.500 0.500 0.500
Tm3 0.506 0.506 0.888

Results
offset from the most stable computed form = 46 meV per atom
space group = C2/m
energy of formation = 82.2 meV per atom
raw total energy = -4.61 eV per atom

---

No. 11
Density functional theory data (PBE-GGA) for a geometry-optimized SiMoPt2 structure.

Lattice parameters (Å, degrees): 8.750 8.750 8.750 18.65 18.65 18.65
Element x y z (fractional)
Si1 0.000 0.000 0.000
Mo1 0.500 0.500 0.500
Pt1 0.257 0.257 0.257
Pt2 0.743 0.743 0.743

Results
space group = R-3m
raw total energy = -7.32 eV per atom
formation energy from raw total energies = -0.240 eV per atom

---

No. 12
Density functional theory data (PBE-GGA) for a geometry-optimized KPF2 structure.

Lattice parameters (Å, degrees): 7.862 7.862 7.862 144.24 144.24 51.48
Element x y z (fractional)
K1 0.000 0.000 0.000
K2 0.750 0.250 0.500
P1 0.250 0.750 0.500
P2 0.500 0.500 0.000
F1 0.219 0.625 0.094
F2 0.375 0.469 0.594
F3 0.531 0.125 0.906
F4 0.875 0.781 0.406

Results
offset from the most stable computed form = 464 meV per atom
space group = I-42d
raw total energy = -3.71 eV per atom
formation energy from raw total energies = -1.152 eV per atom

---

raw total energy of number 6 (Ac2CuPtO6)?
-6.71 eV per atom